1.
PBE La2PuSc, optimized geometry; V = 31.0 Å³/atom; energy above the most stable polymorph in this dataset = 0.000 eV/atom; formation energy = 127 meV per atom
1.0
3.558 0.000 0.000
0.000 3.558 0.000
0.000 0.000 9.808
La Pu Sc
2 1 1
Direct
0.000 0.000 0.244 La
0.000 0.000 0.756 La
0.500 0.500 0.500 Pu
0.500 0.500 0.000 Sc

---

2.
PBE LiCdH2, optimized geometry; V = 11.4 Å³/atom; energy above the most stable polymorph in this dataset = 0.000 eV/atom
1.0
1.546 0.893 5.488
-1.546 0.893 5.488
0.000 -1.785 5.488
Li Cd H
1 1 2
Direct
0.000 0.000 0.000 Li
0.500 0.500 0.500 Cd
0.386 0.386 0.386 H
0.614 0.614 0.614 H

---

3.
PBE K3Pr2RuO6, optimized geometry; V = 16.5 Å³/atom; formation energy from raw total energies = -1.956 eV per atom
1.0
3.035 -5.206 0.000
3.035 5.206 0.000
-1.968 0.000 6.280
K Pr Ru O
3 2 1 6
Direct
0.000 0.000 0.000 K
0.341 0.659 0.000 K
0.659 0.341 0.000 K
0.169 0.831 0.500 Pr
0.831 0.169 0.500 Pr
0.500 0.500 0.500 Ru
0.125 0.433 0.306 O
0.261 0.261 0.685 O
0.433 0.125 0.306 O
0.567 0.875 0.694 O
0.739 0.739 0.315 O
0.875 0.567 0.694 O

---

4.
PBE TmAg4, optimized geometry; V = 31.2 Å³/atom; formation energy = 987 meV per atom
1.0
5.381 0.000 0.000
0.000 5.381 0.000
0.000 0.000 5.381
Tm Ag
1 4
Direct
0.000 0.000 0.000 Tm
0.000 0.000 0.500 Ag
0.000 0.500 0.000 Ag
0.500 0.000 0.000 Ag
0.500 0.500 0.500 Ag

---

5.
PBE PmSeS2, optimized geometry; V = 26.6 Å³/atom; energy above the most stable polymorph in this dataset = 1.091 eV/atom; formation energy from raw total energies = 0.088 eV per atom
1.0
1.928 1.113 8.256
-1.928 1.113 8.256
0.000 -2.226 8.256
Pm Se S
1 1 2
Direct
0.000 0.000 0.000 Pm
0.500 0.500 0.500 Se
0.111 0.111 0.111 S
0.889 0.889 0.889 S

---

6.
PBE La2GaMoN, optimized geometry; V = 22.0 Å³/atom; formation energy from raw total energies = -0.589 eV per atom
1.0
5.237 0.000 0.000
0.000 5.237 0.000
0.000 0.000 4.017
La Ga Mo N
2 1 1 1
Direct
0.000 0.500 0.000 La
0.500 0.000 0.000 La
0.000 0.000 0.500 Ga
0.500 0.500 0.500 Mo
0.500 0.500 0.000 N

---

DOS at the Fermi energy values (in states/eV per atom) by entry order: 2.14 0.19 0.67 0.58 1.11 0.78.